The following is a PBE calculation of an optimized crystal structure of Sr8In2Rh, from Alexandria via LeMat-Bulk.

Values from the calculation:
mass density = 4.0 g cm⁻³
DFT formation energy = -0.2192 eV per atom

Lattice parameters (Å, degrees): 19.9949 5.8854 7.6803 90.00 108.49 90.00
Space group C2/m (No. 12)
Asymmetric unit:
Sr  0.0229  0.0000  0.2930
Sr  0.0925  0.5000  0.9100
Sr  0.1477  0.5000  0.4493
Sr  0.2096  0.0000  0.7916
In  0.1811  0.0000  0.2098
Rh  0.0000  0.5000  0.5000